DFT (PBE) results for a relaxed Tb5PrSmDy2 crystal.

Results
Calculated density   7.85 g/cm³
ΔH_f (0 K)   6.48 kcal/mol of atoms

The structure in POSCAR format:
```
Tb5PrSmDy2
1.0
-1.804 -5.129 -7.150
7.506 -4.706 1.482
-6.634 0.240 7.143
Tb Pr Sm Dy
10 2 2 4
Direct
0.928 0.428 0.263
0.665 0.165 0.737
0.072 0.572 0.737
0.165 0.072 0.737
0.572 0.665 0.737
0.835 0.928 0.263
0.428 0.335 0.263
0.335 0.835 0.263
0.500 0.500 0.000
0.000 0.000 0.000
0.250 0.250 0.500
0.750 0.750 0.500
0.250 0.750 0.500
0.750 0.250 0.500
0.113 0.387 0.000
0.613 0.113 0.000
0.387 0.887 0.000
0.887 0.613 0.000
```

***

DFT (PBE) results for a relaxed As2Ir2Pt crystal.

Results
Distance to the lowest polymorph of the same formula   0 meV/atom
Calculated density   15.22 g/cm³
ΔH_f (0 K)   2.54 kcal/mol of atoms

The structure in POSCAR format:
```
As2Ir2Pt
1.0
-1.816 -7.085 -0.655
2.084 0.117 -7.041
2.734 -0.774 0.796
As Ir Pt
4 4 2
Direct
0.156 0.656 0.500
0.656 0.844 0.500
0.844 0.344 0.500
0.344 0.156 0.500
0.359 0.859 0.000
0.859 0.641 0.000
0.641 0.141 0.000
0.141 0.359 0.000
0.000 0.000 0.000
0.500 0.500 0.000
```

***

DFT (PBE) results for a relaxed La4CSeCl2 crystal.

Results
Formation energy without anion corrections   -1411.4 meV/atom
Calculated density   5.76 g/cm³

The structure in POSCAR format:
```
La4CSeCl2
1.0
-2.990 0.305 -2.688
-1.774 -7.010 1.178
-4.936 -0.219 5.465
La C Se Cl
4 1 1 2
Direct
0.000 0.721 0.717
0.000 0.279 0.283
0.500 0.706 0.296
0.500 0.294 0.704
0.000 0.500 0.500
0.500 0.500 0.000
0.000 0.000 0.000
0.500 0.000 0.500
```

***

DFT (PBE) results for a relaxed Ac2LaSm crystal.

Results
Distance to the lowest polymorph of the same formula   181 meV/atom
Calculated density   7.55 g/cm³
ΔH_f (0 K)   4.70 kcal/mol of atoms

The structure in POSCAR format:
```
Ac2LaSm
1.0
-3.398 0.052 1.628
-2.895 -1.785 -1.623
0.952 -11.630 6.717
Ac Sm La
2 1 1
Direct
0.088 0.088 0.736
0.912 0.912 0.264
0.000 0.000 0.000
0.500 0.500 0.500
```